This record from Alexandria via LeMat-Bulk describes a relaxed structure of ScPb3. The functional is PBEsol.

Results
Density, g/cm3: 10.1
Space-group type: R-3m (166)
Total energy, eV per atom: -4.70
Formation energy from the elements, meV per atom: -49
Total magnetic moment, μB/f.u.: 0.004

Cell lengths 10.9891, 10.9891, 10.9891 Å; angles 17.88, 17.88, 17.88 degrees
With the nearest neighbours (Å) after each atom.
Element x y z (fractional)
Sc: 0.0000 0.0000 0.0000  6 Pb 3.17, 6 Sc 3.41
Pb: 0.2568 0.2568 0.2568  3 Sc 3.17, 9 Pb 3.41-3.53
Pb: 0.5000 0.5000 0.5000  12 Pb 3.41-3.53
Pb: 0.7432 0.7432 0.7432  3 Sc 3.17, 9 Pb 3.41-3.53